Entry 1:
A plane-wave DFT calculation with PBE-GGA was carried out for K2SiAs after structural relaxation.

Summary:
- Total moment: 0.00 μB per formula unit
- Uncorrected formation energy: 0.260 eV/atom
- Energy above the lowest structure with this stoichiometry: 495 meV/atom

a b c (Å): 5.1375 5.1375 8.4585
angles (deg): 90.00 90.00 90.00
With the nearest neighbours (Å) after each atom.
Space group I-4m2 (No. 119)
Unique sites:
K: 0.0000 0.0000 0.0000  4 K 3.33, 4 Si 3.33, 4 As 3.63
K: 0.0000 0.5000 0.2500  4 As 3.33, 4 K 3.33, 4 Si 3.63
Si: 0.0000 0.5000 0.7500  4 As 3.33, 8 K 3.33-3.63
As: 0.0000 0.0000 0.5000  8 K 3.33-3.63, 4 Si 3.33



Entry 2:
A plane-wave DFT calculation with PBE-GGA was carried out for Sm4AlIr after structural relaxation.

Summary:
- Total moment: 0.00 μB per formula unit
- Energy of formation: -2.3 eV/f.u.
- Energy above the lowest structure with this stoichiometry: 82 meV/atom

a b c (Å): 8.9562 13.7575 6.0784
angles (deg): 90.00 115.40 90.00
With the nearest neighbours (Å) after each atom.
Space group C2/c (No. 15)
Unique sites:
Sm: 0.1176 0.1785 0.0786  2 Ir 3.03-3.05, 2 Al 3.20-3.23
Sm: 0.2129 0.4314 0.3252  2 Ir 2.91-2.95, 1 Al 3.21
Al: 0.0000 0.3732 0.7500  8 Sm 3.20-3.28
Ir: 0.0000 0.9996 0.2500  8 Sm 2.91-3.05, 2 Ir 3.04



Entry 3:
A plane-wave DFT calculation with PBE-GGA was carried out for ZnTeRu2O after structural relaxation.

Summary:
- Total moment: 0.00 μB per formula unit
- Uncorrected formation energy: 0.488 eV/atom

a b c (Å): 4.1349 4.1349 4.5716
angles (deg): 90.00 90.00 90.00
With the nearest neighbours (Å) after each atom.
Space group P4/mmm (No. 123)
Unique sites:
Zn: 0.0000 0.0000 0.0000  4 Te 2.92, 8 Ru 3.08
Te: 0.5000 0.5000 0.0000  2 O 2.29
Ru: 0.0000 0.5000 0.5000  2 O 2.07
O: 0.5000 0.5000 0.5000  4 Ru 2.07, 2 Te 2.29